Entry 1:
Compound: Na4CaIn3O8
Source: the Alexandria database
Functional: PBE
Structure: relaxed

Results
Final energy ... -246.0 eV/cell
ρ ... 4.74 g/cm³
D(E_F) ... 50.07 states/eV per cell

```
data_Na4CaIn3O8
_chemical_formula_sum 'Na12 Ca3 In9 O24'
_symmetry_space_group_name_H-M 'R -3 m'
_symmetry_Int_Tables_number 166
_symmetry_space_group_name_Hall '-R 3 2"'
_cell_length_a 6.6322
_cell_length_b 6.6322
_cell_length_c 16.6712
_cell_angle_alpha 90.00
_cell_angle_beta 90.00
_cell_angle_gamma 120.00
loop_
_atom_site_label
_atom_site_type_symbol
_atom_site_fract_x
_atom_site_fract_y
_atom_site_fract_z
Na1 Na 0.0000 0.0000 0.0000
Na2 Na 0.0000 0.5000 0.0000
Ca1 Ca 0.0000 0.0000 0.5000
In1 In 0.0000 0.5000 0.5000
O1 O 0.0000 0.0000 0.2391
O2 O 0.0138 0.5069 0.7611
```

Entry 2:
Compound: Na3CaIn2O6
Source: the Alexandria database
Functional: PBE
Structure: relaxed

Results
Final energy ... -123.2 eV/cell
ρ ... 4.50 g/cm³
D(E_F) ... 24.78 states/eV per cell

```
data_Na3CaIn2O6
_chemical_formula_sum 'Na6 Ca2 In4 O12'
_symmetry_space_group_name_H-M 'C 1 2/m 1'
_symmetry_Int_Tables_number 12
_cell_length_a 5.763
_cell_length_b 9.984
_cell_length_c 5.896
_cell_angle_alpha 90.00
_cell_angle_beta 109.13
_cell_angle_gamma 90.00
loop_
_symmetry_equiv_pos_as_xyz
'x,y,z'
'-x,-y,-z'
'-x,y,-z'
'x,-y,z'
'x+1/2,y+1/2,z'
'-x+1/2,-y+1/2,-z'
'-x+1/2,y+1/2,-z'
'x+1/2,-y+1/2,z'
loop_
_atom_site_label
_atom_site_type_symbol
_atom_site_fract_x
_atom_site_fract_y
_atom_site_fract_z
Na1 Na 0.000 0.000 0.000
Na2 Na 0.000 0.332 0.000
Ca1 Ca 0.000 0.500 0.500
In1 In 0.000 0.166 0.500
O1 O 0.221 0.000 0.720
O2 O 0.249 0.324 0.717
```

Entry 3:
Compound: NaCa2In2Pb2
Source: the Alexandria database
Functional: PBE
Structure: relaxed

Results
DFT formation energy ... -211.6 meV per atom
ρ ... 5.70 g/cm³
D(E_F) ... 10.10 states/eV per cell

```
data_NaCa2In2Pb2
_chemical_formula_sum 'Na3 Ca6 In6 Pb6'
_symmetry_space_group_name_H-M 'R -3 m'
_symmetry_Int_Tables_number 166
_symmetry_space_group_name_Hall '-R 3 2"'
_cell_length_a 5.3107
_cell_length_b 5.3107
_cell_length_c 26.7508
_cell_angle_alpha 90.00
_cell_angle_beta 90.00
_cell_angle_gamma 120.00
loop_
_atom_site_label
_atom_site_type_symbol
_atom_site_fract_x
_atom_site_fract_y
_atom_site_fract_z
Na1 Na 0.0000 0.0000 0.0000
Ca1 Ca 0.0000 0.0000 0.1350
In1 In 0.0000 0.0000 0.4365
Pb1 Pb 0.0000 0.0000 0.2693
```

Entry 4:
Compound: Na2CaInPb2
Source: the Alexandria database
Functional: PBE
Structure: relaxed

Results
DFT formation energy ... -264.1 meV per atom
ρ ... 5.63 g/cm³
D(E_F) ... 5.81 states/eV per cell

```
data_Na2CaInPb2
_chemical_formula_sum 'Na4 Ca2 In2 Pb4'
_symmetry_space_group_name_H-M 'P m c 21'
_symmetry_Int_Tables_number 26
_cell_length_a 4.819
_cell_length_b 9.536
_cell_length_c 7.901
_cell_angle_alpha 90.00
_cell_angle_beta 90.00
_cell_angle_gamma 90.00
loop_
_symmetry_equiv_pos_as_xyz
'x,y,z'
'-x,-y,z+1/2'
'-x,y,z'
'x,-y,z+1/2'
loop_
_atom_site_label
_atom_site_type_symbol
_atom_site_fract_x
_atom_site_fract_y
_atom_site_fract_z
Na1 Na 0.000 0.071 0.000
Na2 Na 0.500 0.177 0.309
Ca1 Ca 0.500 0.448 0.940
In1 In 0.000 0.319 0.611
Pb1 Pb 0.000 0.375 0.222
Pb2 Pb 0.500 0.144 0.716
```

Entry 5:
Compound: NaCaIn2Pd
Source: the Alexandria database
Functional: PBE
Structure: relaxed

Results
DFT formation energy ... -285.2 meV per atom
ρ ... 4.44 g/cm³
D(E_F) ... 2.74 states/eV per cell

```
data_NaCaIn2Pd
_chemical_formula_sum 'Na1 Ca1 In2 Pd1'
_symmetry_space_group_name_H-M 'P 4/m m m'
_symmetry_Int_Tables_number 123
_symmetry_space_group_name_Hall '-P 4 2'
_cell_length_a 5.260
_cell_length_b 5.260
_cell_length_c 5.392
_cell_angle_alpha 90.00
_cell_angle_beta 90.00
_cell_angle_gamma 90.00
loop_
_atom_site_label
_atom_site_type_symbol
_atom_site_fract_x
_atom_site_fract_y
_atom_site_fract_z
Na1 Na 0.000 0.000 0.000
Ca1 Ca 0.500 0.500 0.000
In1 In 0.000 0.500 0.500
Pd1 Pd 0.500 0.500 0.500
```

Entry 6:
Compound: Na2CaInPd
Source: the Alexandria database
Functional: PBE
Structure: relaxed

Results
DFT formation energy ... 121.7 meV per atom
ρ ... 3.22 g/cm³
D(E_F) ... 3.03 states/eV per cell

```
data_Na2CaInPd
_chemical_formula_sum 'Na2 Ca1 In1 Pd1'
_symmetry_space_group_name_H-M 'P 4/m m m'
_symmetry_Int_Tables_number 123
_symmetry_space_group_name_Hall '-P 4 2'
_cell_length_a 5.549
_cell_length_b 5.549
_cell_length_c 5.146
_cell_angle_alpha 90.00
_cell_angle_beta 90.00
_cell_angle_gamma 90.00
loop_
_atom_site_label
_atom_site_type_symbol
_atom_site_fract_x
_atom_site_fract_y
_atom_site_fract_z
Na1 Na 0.000 0.500 0.000
Ca1 Ca 0.000 0.000 0.500
In1 In 0.500 0.500 0.000
Pd1 Pd 0.500 0.500 0.500
```

Entry 7:
Compound: NaCaInPd
Source: the Alexandria database
Functional: PBE
Structure: relaxed

Results
DFT formation energy ... -363.2 meV per atom
ρ ... 5.29 g/cm³
D(E_F) ... 10.33 states/eV per cell

```
data_NaCaInPd
_chemical_formula_sum 'Na4 Ca4 In4 Pd4'
_symmetry_space_group_name_H-M 'F -4 3 m'
_symmetry_Int_Tables_number 216
_symmetry_space_group_name_Hall 'F -4 2 3'
_cell_length_a 7.092
_cell_length_b 7.092
_cell_length_c 7.092
_cell_angle_alpha 90.00
_cell_angle_beta 90.00
_cell_angle_gamma 90.00
loop_
_atom_site_label
_atom_site_type_symbol
_atom_site_fract_x
_atom_site_fract_y
_atom_site_fract_z
Na1 Na 0.000 0.000 0.000
Ca1 Ca 0.250 0.250 0.250
In1 In 0.250 0.250 0.750
Pd1 Pd 0.000 0.000 0.500
```

Entry 8:
Compound: NaCaPmIn
Source: the Alexandria database
Functional: PBE
Structure: relaxed

Results
DFT formation energy ... -195.7 meV per atom
ρ ... 4.45 g/cm³
D(E_F) ... 12.73 states/eV per cell

```
data_NaCaPmIn
_chemical_formula_sum 'Na4 Ca4 Pm4 In4'
_symmetry_space_group_name_H-M 'F -4 3 m'
_symmetry_Int_Tables_number 216
_symmetry_space_group_name_Hall 'F -4 2 3'
_cell_length_a 7.843
_cell_length_b 7.843
_cell_length_c 7.843
_cell_angle_alpha 90.00
_cell_angle_beta 90.00
_cell_angle_gamma 90.00
loop_
_atom_site_label
_atom_site_type_symbol
_atom_site_fract_x
_atom_site_fract_y
_atom_site_fract_z
Na1 Na 0.000 0.000 0.000
Ca1 Ca 0.250 0.250 0.250
Pm1 Pm 0.250 0.250 0.750
In1 In 0.000 0.000 0.500
```